(1)
# ZnCd PBEsol optimized geometry
data_ZnCd
_chemical_formula_sum 'Zn2 Cd2'
_cell_length_a 2.9326
_cell_length_b 2.9326
_cell_length_c 8.1791
_cell_angle_alpha 90.00
_cell_angle_beta 90.00
_cell_angle_gamma 89.93
_space_group_name_H-M_alt 'P 1'
_space_group_IT_number 1
_space_group_name_Hall 'P 1'
loop_
_atom_site_label
_atom_site_fract_x
_atom_site_fract_y
_atom_site_fract_z
Zn1 0.2500 0.7500 0.6018
Zn2 0.7500 0.2500 0.3982
Cd1 0.2500 0.7500 0.1456
Cd2 0.7500 0.2500 0.8544
# Total magnetization   0.00 μB per formula unit
# Energy relative to the elements   6.2 kJ per mole of atoms

***

(2)
# Hf2Al2Pd PBEsol optimized geometry
data_Hf2Al2Pd
_chemical_formula_sum 'Hf4 Al4 Pd2'
_cell_length_a 4.2878
_cell_length_b 6.4021
_cell_length_c 6.4021
_cell_angle_alpha 90.00
_cell_angle_beta 90.00
_cell_angle_gamma 90.00
_space_group_name_H-M_alt 'P 1'
_space_group_IT_number 1
_space_group_name_Hall 'P 1'
loop_
_atom_site_label
_atom_site_fract_x
_atom_site_fract_y
_atom_site_fract_z
Hf1 0.5000 0.1674 0.6674
Hf2 0.5000 0.6674 0.8326
Hf3 0.5000 0.8326 0.3326
Hf4 0.5000 0.3326 0.1674
Al1 0.0000 0.3598 0.8598
Al2 0.0000 0.8598 0.6402
Al3 0.0000 0.6402 0.1402
Al4 0.0000 0.1402 0.3598
Pd1 0.0000 0.0000 0.0000
Pd2 0.0000 0.5000 0.5000
# Total magnetization   0.00 μB per formula unit
# Energy relative to the elements   -55.2 kJ per mole of atoms

***

(3)
# Mg2InNi PBEsol optimized geometry
data_Mg2InNi
_chemical_formula_sum 'Mg2 In1 Ni1'
_cell_length_a 3.2930
_cell_length_b 4.6215
_cell_length_c 5.4467
_cell_angle_alpha 115.10
_cell_angle_beta 107.60
_cell_angle_gamma 90.00
_space_group_name_H-M_alt 'P 1'
_space_group_IT_number 1
_space_group_name_Hall 'P 1'
loop_
_atom_site_label
_atom_site_fract_x
_atom_site_fract_y
_atom_site_fract_z
Ni1 0.4973 0.4973 0.9946
Mg1 0.0039 0.0039 0.0078
Mg2 0.2150 0.7150 0.4300
In1 0.7838 0.2838 0.5676
# Total magnetization   0.00 μB per formula unit
# Energy relative to the elements   -8.6 kJ per mole of atoms

***

(4)
# YSiTe2 PBEsol optimized geometry
data_YSiTe2
_chemical_formula_sum 'Y1 Si1 Te2'
_cell_length_a 4.4519
_cell_length_b 4.4519
_cell_length_c 5.7924
_cell_angle_alpha 112.60
_cell_angle_beta 112.60
_cell_angle_gamma 90.00
_space_group_name_H-M_alt 'P 1'
_space_group_IT_number 1
_space_group_name_Hall 'P 1'
loop_
_atom_site_label
_atom_site_fract_x
_atom_site_fract_y
_atom_site_fract_z
Si1 0.0000 0.0000 0.0000
Te1 0.7500 0.2500 0.5000
Te2 0.2500 0.7500 0.5000
Y1 0.5000 0.5000 0.0000
# Energy relative to the elements, uncorrected   -0.270 eV/atom
# Total magnetization   0.00 μB per formula unit

***

(5)
# TaAlAu2 PBEsol optimized geometry
data_TaAlAu2
_chemical_formula_sum 'Ta1 Al1 Au2'
_cell_length_a 2.9166
_cell_length_b 4.1279
_cell_length_c 5.6884
_cell_angle_alpha 90.00
_cell_angle_beta 104.85
_cell_angle_gamma 90.00
_space_group_name_H-M_alt 'P 1'
_space_group_IT_number 1
_space_group_name_Hall 'P 1'
loop_
_atom_site_label
_atom_site_fract_x
_atom_site_fract_y
_atom_site_fract_z
Au1 0.1820 0.0000 0.3640
Au2 0.5528 0.5000 0.1056
Al1 0.3102 0.5000 0.6205
Ta1 0.9242 0.0000 0.8484
# Total magnetization   0.00 μB per formula unit
# Energy relative to the elements   -18.3 kJ per mole of atoms

***

(6)
# Co2SiTc PBEsol optimized geometry
data_Co2SiTc
_chemical_formula_sum 'Co2 Si1 Tc1'
_cell_length_a 2.5809
_cell_length_b 4.2993
_cell_length_c 4.2993
_cell_angle_alpha 108.26
_cell_angle_beta 90.00
_cell_angle_gamma 90.00
_space_group_name_H-M_alt 'P 1'
_space_group_IT_number 1
_space_group_name_Hall 'P 1'
loop_
_atom_site_label
_atom_site_fract_x
_atom_site_fract_y
_atom_site_fract_z
Co1 0.0000 0.5000 0.0000
Co2 0.0000 0.0000 0.5000
Si1 0.5000 0.0000 0.0000
Tc1 0.5000 0.5000 0.5000
# Energy relative to the elements, uncorrected   -0.205 eV/atom
# Total magnetization   0.00 μB per formula unit

***

(7)
# Ba6Tl2NCl PBEsol optimized geometry
data_Ba6Tl2NCl
_chemical_formula_sum 'Ba6 Tl2 N1 Cl1'
_cell_length_a 8.1287
_cell_length_b 8.1287
_cell_length_c 8.1287
_cell_angle_alpha 60.00
_cell_angle_beta 60.00
_cell_angle_gamma 60.00
_space_group_name_H-M_alt 'P 1'
_space_group_IT_number 1
_space_group_name_Hall 'P 1'
loop_
_atom_site_label
_atom_site_fract_x
_atom_site_fract_y
_atom_site_fract_z
Ba1 0.2671 0.7329 0.7329
Ba2 0.7329 0.2671 0.7329
Ba3 0.2671 0.7329 0.2671
Ba4 0.2671 0.2671 0.7329
Ba5 0.7329 0.7329 0.2671
Ba6 0.7329 0.2671 0.2671
Tl1 0.2500 0.2500 0.2500
Tl2 0.7500 0.7500 0.7500
N1 0.5000 0.5000 0.5000
Cl1 0.0000 0.0000 0.0000
# Energy relative to the elements, uncorrected   -0.689 eV/atom
# Total magnetization   0.02 μB per formula unit

***

(8)
# VRh3 PBEsol optimized geometry
data_VRh3
_chemical_formula_sum 'V2 Rh6'
_cell_length_a 4.2567
_cell_length_b 5.3426
_cell_length_c 5.3426
_cell_angle_alpha 120.00
_cell_angle_beta 90.00
_cell_angle_gamma 90.00
_space_group_name_H-M_alt 'P 1'
_space_group_IT_number 1
_space_group_name_Hall 'P 1'
loop_
_atom_site_label
_atom_site_fract_x
_atom_site_fract_y
_atom_site_fract_z
V1 0.7500 0.3333 0.6667
V2 0.2500 0.6667 0.3333
Rh1 0.2500 0.6655 0.8328
Rh2 0.2500 0.1672 0.3345
Rh3 0.2500 0.1672 0.8328
Rh4 0.7500 0.3345 0.1672
Rh5 0.7500 0.8328 0.6655
Rh6 0.7500 0.8328 0.1672
# Total magnetization   0.00 μB per formula unit
# Energy relative to the elements   -39.3 kJ per mole of atoms

***

(9)
# K2NaDyCl6 PBEsol optimized geometry
data_K2NaDyCl6
_chemical_formula_sum 'K2 Na1 Dy1 Cl6'
_cell_length_a 7.4345
_cell_length_b 7.4345
_cell_length_c 7.4345
_cell_angle_alpha 60.00
_cell_angle_beta 60.00
_cell_angle_gamma 60.00
_space_group_name_H-M_alt 'P 1'
_space_group_IT_number 1
_space_group_name_Hall 'P 1'
loop_
_atom_site_label
_atom_site_fract_x
_atom_site_fract_y
_atom_site_fract_z
Na1 0.5000 0.5000 0.5000
K1 0.7500 0.7500 0.7500
K2 0.2500 0.2500 0.2500
Cl1 0.7538 0.7538 0.2462
Cl2 0.2462 0.7538 0.2462
Cl3 0.2462 0.2462 0.7538
Cl4 0.7538 0.2462 0.7538
Cl5 0.7538 0.2462 0.2462
Cl6 0.2462 0.7538 0.7538
Dy1 0.0000 0.0000 0.0000
# Energy relative to the elements, uncorrected   -2.044 eV/atom
# Total magnetization   0.00 μB per formula unit

***

(10)
# V3Sn PBEsol optimized geometry
data_V3Sn
_chemical_formula_sum 'V6 Sn2'
_cell_length_a 4.4682
_cell_length_b 5.5670
_cell_length_c 5.5670
_cell_angle_alpha 120.00
_cell_angle_beta 90.00
_cell_angle_gamma 90.00
_space_group_name_H-M_alt 'P 1'
_space_group_IT_number 1
_space_group_name_Hall 'P 1'
loop_
_atom_site_label
_atom_site_fract_x
_atom_site_fract_y
_atom_site_fract_z
V1 0.7500 0.6999 0.8500
V2 0.2500 0.8500 0.1500
V3 0.2500 0.3001 0.1500
V4 0.7500 0.1500 0.8500
V5 0.7500 0.1500 0.3001
V6 0.2500 0.8500 0.6999
Sn1 0.7500 0.6667 0.3333
Sn2 0.2500 0.3333 0.6667
# Total magnetization   0.00 μB per formula unit
# Energy relative to the elements   -4.7 kJ per mole of atoms

***

(11)
# CrSb2P PBEsol optimized geometry
data_CrSb2P
_chemical_formula_sum 'Cr2 Sb4 P2'
_cell_length_a 6.1138
_cell_length_b 6.1138
_cell_length_c 7.2692
_cell_angle_alpha 114.87
_cell_angle_beta 114.87
_cell_angle_gamma 90.00
_space_group_name_H-M_alt 'P 1'
_space_group_IT_number 1
_space_group_name_Hall 'P 1'
loop_
_atom_site_label
_atom_site_fract_x
_atom_site_fract_y
_atom_site_fract_z
Sb1 0.8764 0.3750 0.2500
Sb2 0.3736 0.8750 0.2500
Sb3 0.6250 0.6264 0.7500
Sb4 0.1250 0.1236 0.7500
P1 0.7500 0.2500 0.5000
P2 0.5000 0.5000 0.0000
Cr1 0.2500 0.7500 0.5000
Cr2 0.0000 0.0000 0.0000
# Energy relative to the elements, uncorrected   0.543 eV/atom
# Total magnetization   3.40 μB per formula unit

***

(12)
# Ba5Cd3 PBEsol optimized geometry
data_Ba5Cd3
_chemical_formula_sum 'Ba10 Cd6'
_cell_length_a 7.2245
_cell_length_b 10.3553
_cell_length_c 10.3553
_cell_angle_alpha 120.00
_cell_angle_beta 90.00
_cell_angle_gamma 90.00
_space_group_name_H-M_alt 'P 1'
_space_group_IT_number 1
_space_group_name_Hall 'P 1'
loop_
_atom_site_label
_atom_site_fract_x
_atom_site_fract_y
_atom_site_fract_z
Ba1 0.0000 0.6667 0.3333
Ba2 0.5000 0.3333 0.6667
Ba3 0.0000 0.3333 0.6667
Ba4 0.5000 0.6667 0.3333
Ba5 0.7500 0.7387 0.7387
Ba6 0.2500 0.2613 0.2613
Ba7 0.7500 0.0000 0.2613
Ba8 0.7500 0.2613 0.0000
Ba9 0.2500 0.7387 0.0000
Ba10 0.2500 0.0000 0.7387
Cd1 0.7500 0.3981 0.3981
Cd2 0.2500 0.6019 0.6019
Cd3 0.7500 0.0000 0.6019
Cd4 0.7500 0.6019 0.0000
Cd5 0.2500 0.3981 0.0000
Cd6 0.2500 0.0000 0.3981
# Total magnetization   0.00 μB per formula unit
# Energy relative to the lowest polymorph listed for this composition   0.0 meV/atom
# Energy relative to the elements   -17.2 kJ per mole of atoms

***

Q: Among the records above, which one has the highest total magnetization?
A: CrSb2P

***

Q: Number 12 is which compound?
A: Ba5Cd3

***

Q: Number 7 is which compound?
A: Ba6Tl2NCl

***

Q: Number 5 is which compound?
A: TaAlAu2